*P*
A relaxed structure of NdY2Ho8, computed with PBE.

Calculated values
Its density of states at the Fermi level is 15.465 states/eV/f.u. As for the space group: C2/m, No. 12. Its crystal system is monoclinic.

Cell: 5.9379 9.2664 9.7097 Å, 61.50 72.24 50.27°
With the nearest neighbours (Å) after each atom.
Positions (direct):
Ho: 0.7563 0.5027 0.0000  2 Ho 2.86-3.08
Ho: 0.5000 0.2008 0.5984  1 Nd 3.43, 6 Ho 3.47-3.60, 4 Y 3.52-3.57
Ho: 0.2277 0.9016 0.7393  6 Ho 3.26-3.60, 1 Y 3.49
Ho: 0.7723 0.0984 0.2607  6 Ho 3.26-3.60, 1 Y 3.49
Ho: 0.5000 0.7992 0.4016  1 Nd 3.43, 6 Ho 3.47-3.60, 4 Y 3.52-3.57
Ho: 0.7723 0.3591 0.7393  6 Ho 3.26-3.60, 1 Y 3.49
Y: 0.0000 0.3114 0.3772  12 Ho 3.49-3.69
Y: 0.0000 0.6886 0.6228  12 Ho 3.49-3.69
Ho: 0.2437 0.4973 0.0000  2 Ho 2.86-3.08
Nd: 0.5000 0.0000 0.0000  4 Ho 3.43-3.82
Ho: 0.2277 0.6409 0.2607  6 Ho 3.26-3.60, 1 Y 3.49

---

*Q*
A relaxed structure of NdY2Ho8, computed with PBE.

Calculated values
Its density of states at the Fermi level is 15.691 states/eV/f.u. As for the space group: Immm, No. 71. Its crystal system is orthorhombic.

Cell: 5.5025 8.0841 9.3441 Å, 115.63 107.10 90.00°
With the nearest neighbours (Å) after each atom.
Positions (direct):
Ho: 0.3617 0.5681 0.7234  1 Nd 3.24, 4 Ho 3.34-3.57, 3 Y 3.37-3.50
Y: 0.7997 0.2997 0.5993  10 Ho 3.37-3.60
Ho: 0.6383 0.8448 0.2767  1 Nd 3.24, 4 Ho 3.34-3.57, 3 Y 3.37-3.50
Ho: 0.6383 0.4319 0.2766  1 Nd 3.24, 4 Ho 3.34-3.57, 3 Y 3.37-3.50
Nd: 0.5000 0.0000 0.0000  4 Ho 3.24
Ho: 0.8365 0.8366 0.6732  2 Y 3.50-3.51, 8 Ho 3.53-3.66, 2 Nd 3.79
Y: 0.2003 0.7003 0.4007  10 Ho 3.37-3.60
Ho: 0.0000 0.7056 0.0000  7 Ho 3.32-3.53, 2 Y 3.60, 2 Nd 3.64
Ho: 0.0000 0.2944 0.0000  7 Ho 3.32-3.53, 2 Y 3.60, 2 Nd 3.64
Ho: 0.1635 0.1634 0.3268  2 Y 3.50-3.51, 8 Ho 3.53-3.66, 2 Nd 3.79
Ho: 0.3617 0.1552 0.7233  1 Nd 3.24, 4 Ho 3.34-3.57, 3 Y 3.37-3.50

---

*Q* has the most favorable energy; the next structure is 0.036 eV/atom above.